Record 1
5
Lattice="-3.777 -0.881 -0.197 0.778 -3.606 1.211 -0.638 1.585 5.130" Properties=species:S:1:pos:R:3 comment="CdCuSeN2 | Alexandria via LeMat-Bulk | PBE-GGA | optimized geometry" e_form_raw_ev_per_atom=1.268 dos_at_fermi_per_ev_fu=2.23 mass_density_g_cm3=5.762 volume_a3_per_fu=81.5 de_polymorph_ev_per_atom=0.000 energy_ry_per_atom=-0.27642 m_tot_mub_per_fu=3.39 pbc="T T T"
N 0.389 -1.803 0.605
N -1.888 -0.440 -0.099
Cu 0.000 0.000 0.000
Se -0.319 0.793 2.565
Cd -1.818 -1.451 3.072

---

Record 2
10
Lattice="-3.230 -5.628 -2.858 6.239 -3.334 -0.485 -0.498 -1.420 3.359" Properties=species:S:1:pos:R:3 comment="Hf2AsPd2 | Alexandria via LeMat-Bulk | PBE-GGA | optimized geometry" dos_at_fermi_per_ev_fu=1.66 mass_density_g_cm3=11.571 volume_a3_per_fu=92.5 de_polymorph_ev_per_atom=0.000 energy_ry_per_atom=-0.55629 e_form_kj_per_mol_atoms=-56 m_tot_mub_per_fu=0.00 pbc="T T T"
As 0.000 0.000 0.000
As 1.504 -4.481 -1.671
Hf 3.380 -3.896 0.871
Hf 2.770 -7.247 -0.637
Hf -0.869 -6.486 -0.855
Hf -0.259 -3.135 0.653
Pd 4.226 -4.963 -1.472
Pd 1.142 -6.992 -2.787
Pd -1.217 -3.999 -1.871
Pd 1.867 -1.971 -0.556